A relaxed structure of PaSi2GeO8. Source: Alexandria via LeMat-Bulk, functional PBE.

Raw formation energy (eV per atom): -2.32
Density (Mg/m³): 4.55
SG: P-3m1, No. 164
Total magnetic moment (μB/f.u.): 1.00

a = 5.494 Å, b = 5.494 Å, c = 6.804 Å
α = 90.00°, β = 90.00°, γ = 120.00°
Fractional coordinates of all 12 atoms:
Pa 0.000 0.000 0.000
Si 0.333 0.667 0.704
Si 0.667 0.333 0.296
Ge 0.000 0.000 0.500
O 0.171 0.342 0.789
O 0.171 0.829 0.789
O 0.333 0.667 0.465
O 0.342 0.171 0.211
O 0.658 0.829 0.789
O 0.667 0.333 0.535
O 0.829 0.171 0.211
O 0.829 0.658 0.211


A relaxed structure of TbMgTlHg. Source: Alexandria via LeMat-Bulk, functional PBE.

Density (Mg/m³): 9.95
Energy of formation (kcal/mol of atoms): -8.30
SG: F-43m, No. 216
Total magnetic moment (μB/f.u.): 0.00

a = 5.178 Å, b = 5.178 Å, c = 5.178 Å
α = 60.00°, β = 60.00°, γ = 60.00°
Fractional coordinates of all 4 atoms:
Tb 0.000 0.000 0.000
Mg 0.500 0.500 0.500
Tl 0.250 0.250 0.250
Hg 0.750 0.750 0.750


A relaxed structure of Ba2PdSe. Source: Alexandria via LeMat-Bulk, functional PBE.

Raw formation energy (eV per atom): -0.94
Density (Mg/m³): 3.96
SG: I-42d, No. 122
Total magnetic moment (μB/f.u.): 0.00

a = 8.872 Å, b = 8.872 Å, c = 8.872 Å
α = 131.30°, β = 131.30°, γ = 71.34°
Fractional coordinates of all 8 atoms:
Ba 0.120 0.625 0.995
Ba 0.375 0.370 0.495
Ba 0.630 0.125 0.005
Ba 0.875 0.880 0.505
Pd 0.000 0.000 0.000
Pd 0.750 0.250 0.500
Se 0.250 0.750 0.500
Se 0.500 0.500 0.000


A relaxed structure of HfScBeRe. Source: Alexandria via LeMat-Bulk, functional PBE.

Density (Mg/m³): 10.32
Energy of formation (kcal/mol of atoms): -3.15
SG: F-43m, No. 216
Total magnetic moment (μB/f.u.): 0.00

a = 4.568 Å, b = 4.568 Å, c = 4.568 Å
α = 60.00°, β = 60.00°, γ = 60.00°
Fractional coordinates of all 4 atoms:
Hf 0.000 0.000 0.000
Sc 0.500 0.500 0.500
Be 0.750 0.750 0.750
Re 0.250 0.250 0.250